This record from Alexandria describes a geometry-optimized YTmGaGe structure. The functional is PBE.

a = 4.294 Å, b = 3.984 Å, c = 5.773 Å
α = 90.00°, β = 111.83°, γ = 90.00°
Fractional coordinates of all 4 atoms:
Y 0.140 0.000 0.279
Tm 0.861 0.500 0.721
Ga 0.580 0.500 0.160
Ge 0.420 0.000 0.839

N(E_F): 3.2 states/eV/cell
Energy relative to the lowest polymorph listed for this composition: 0 meV/atom
Formation energy: -0.796 eV per atom